Crystalline Hg4PSe at its relaxed geometry. Source: the Alexandria database, functional PBE-GGA.

Computed properties:
space group	F-43m (216)
total energy	-1.029	eV/atom

Unit cell a=5.879 b=5.879 c=5.879 alpha=60.00 beta=60.00 gamma=60.00
Atoms (fractional coordinates):
Hg 0.125 0.125 0.125
Hg 0.125 0.125 0.625
Hg 0.125 0.625 0.125
Hg 0.625 0.125 0.125
P 0.750 0.750 0.750
Se 0.500 0.500 0.500

Crystalline Hg5Br3Cl12 at its relaxed geometry. Source: the Alexandria database, functional PBE-GGA.

Computed properties:
space group	Ia-3d (230)
total energy	-1.611	eV/atom

Unit cell a=14.959 b=14.959 c=14.959 alpha=109.47 beta=109.47 gamma=109.47
Atoms (fractional coordinates):
Hg 0.000 0.000 0.000
Hg 0.000 0.000 0.500
Hg 0.000 0.500 0.000
Hg 0.000 0.500 0.500
Hg 0.125 0.750 0.875
Hg 0.125 0.875 0.250
Hg 0.250 0.125 0.875
Hg 0.250 0.625 0.375
Hg 0.375 0.250 0.625
Hg 0.375 0.625 0.750
Hg 0.500 0.000 0.000
Hg 0.500 0.000 0.500
Hg 0.500 0.500 0.000
Hg 0.500 0.500 0.500
Hg 0.625 0.375 0.250
Hg 0.625 0.750 0.375
Hg 0.750 0.375 0.625
Hg 0.750 0.875 0.125
Hg 0.875 0.125 0.750
Hg 0.875 0.250 0.125
Br 0.125 0.250 0.375
Br 0.125 0.375 0.750
Br 0.250 0.375 0.125
Br 0.250 0.875 0.625
Br 0.375 0.125 0.250
Br 0.375 0.750 0.125
Br 0.625 0.250 0.875
Br 0.625 0.875 0.750
Br 0.750 0.125 0.375
Br 0.750 0.625 0.875
Br 0.875 0.625 0.250
Br 0.875 0.750 0.625
Cl 0.016 0.190 0.127
Cl 0.016 0.326 0.889
Cl 0.062 0.690 0.674
Cl 0.062 0.873 0.389
Cl 0.111 0.627 0.438
Cl 0.111 0.984 0.674
Cl 0.127 0.016 0.190
Cl 0.127 0.611 0.938
Cl 0.174 0.190 0.562
Cl 0.174 0.484 0.611
Cl 0.190 0.127 0.016
Cl 0.190 0.562 0.174
Cl 0.310 0.326 0.938
Cl 0.310 0.484 0.373
Cl 0.326 0.889 0.016
Cl 0.326 0.938 0.310
Cl 0.373 0.310 0.484
Cl 0.373 0.562 0.889
Cl 0.389 0.062 0.873
Cl 0.389 0.826 0.516
Cl 0.438 0.111 0.627
Cl 0.438 0.826 0.810
Cl 0.484 0.373 0.310
Cl 0.484 0.611 0.174
Cl 0.516 0.389 0.826
Cl 0.516 0.627 0.690
Cl 0.562 0.174 0.190
Cl 0.562 0.889 0.373
Cl 0.611 0.174 0.484
Cl 0.611 0.938 0.127
Cl 0.627 0.438 0.111
Cl 0.627 0.690 0.516
Cl 0.674 0.062 0.690
Cl 0.674 0.111 0.984
Cl 0.690 0.516 0.627
Cl 0.690 0.674 0.062
Cl 0.810 0.438 0.826
Cl 0.810 0.873 0.984
Cl 0.826 0.516 0.389
Cl 0.826 0.810 0.438
Cl 0.873 0.389 0.062
Cl 0.873 0.984 0.810
Cl 0.889 0.016 0.326
Cl 0.889 0.373 0.562
Cl 0.938 0.127 0.611
Cl 0.938 0.310 0.326
Cl 0.984 0.674 0.111
Cl 0.984 0.810 0.873